This record from the Alexandria database describes a geometry-optimized MnMo2As structure. The functional is GGA-PBE.

Computed properties:
As for the energy relative to the elements: 0.041 eV per atom. As for the crystal system: orthorhombic. The final energy comes out at -70.6 eV for the cell shown. Its magnetization is 2.04 μB per formula unit.

```
data_MnMo2As
_cell_length_a 3.211
_cell_length_b 4.281
_cell_length_c 8.444
_cell_angle_alpha 90.00
_cell_angle_beta 90.00
_cell_angle_gamma 90.00
_symmetry_space_group_name_H-M 'I m m 2'
_symmetry_Int_Tables_number 44
_symmetry_space_group_name_Hall 'I 2 -2'
loop_
_atom_site_label
_atom_site_fract_x
_atom_site_fract_y
_atom_site_fract_z
_atom_site_occupancy
Mn1 0.000 0.000 0.000 1
Mo1 0.000 0.000 0.483 1
Mo2 0.000 0.500 0.247 1
As1 0.000 0.500 0.728 1
```